(1)
Computed, not measured: a relaxed DyPd4Pt2 crystal at the PBE-GGA level of DFT.

a = 9.9186 Å, b = 5.4536 Å, c = 4.9325 Å
α = 90.00°, β = 110.20°, γ = 90.00°
Space group C2/m (No. 12)
Inequivalent atoms, fractional coordinates:
1 Dy 0.0000 0.0000 0.0000
2 Pd 0.0000 0.2573 0.5000
3 Pd 0.2500 0.2500 0.0000
4 Pt 0.2429 0.5000 0.4824

=====

(2)
Computed, not measured: a relaxed DyPd5Pt crystal at the PBE-GGA level of DFT.

a = 5.0174 Å, b = 5.3532 Å, c = 9.5241 Å
α = 90.00°, β = 90.00°, γ = 90.00°
Space group Imm2 (No. 44)
Inequivalent atoms, fractional coordinates:
1 Dy 0.0000 0.0000 0.0000
2 Pd 0.0000 0.0000 0.2758
3 Pd 0.0000 0.2546 0.7474
4 Pd 0.2504 0.0000 0.5196
5 Pt 0.0000 0.5000 0.2800

=====

For the records above, the corresponding volume values read 17.886, 18.272 Å³ per atom.
For the records above, the corresponding calculated formation energy values read -0.47, -0.29 eV per atom.